1.
# CsSr2NbAs

A relaxed structure of CsSr2NbAs (PBE, Alexandria via LeMat-Bulk).

a = 5.982 Å, b = 6.848 Å, c = 5.982 Å
α = 90.00°, β = 90.00°, γ = 90.00°
Sites, in units of the cell vectors:
Cs 0.000 0.500 0.000
Sr 0.000 0.000 0.500
Sr 0.500 0.000 0.000
As 0.000 0.000 0.000
Nb 0.500 0.500 0.500

Calculated values
* spin magnetization: 4.92 μB/cell
* theoretical density: 3.23 g cm⁻³
* raw total energy: -3.22 eV per atom
* crystal system: tetragonal
* DFT formation energy: 0.570 eV/atom



2.
# Cs2NdAs2O6

A relaxed structure of Cs2NdAs2O6 (PBE, Alexandria via LeMat-Bulk).

a = 6.248 Å, b = 6.242 Å, c = 7.783 Å
α = 112.79°, β = 90.00°, γ = 120.03°
Sites, in units of the cell vectors:
O 0.219 0.983 0.708
O 0.781 0.017 0.292
O 0.235 0.017 0.292
O 0.745 0.490 0.644
O 0.765 0.983 0.708
O 0.255 0.510 0.356
As 0.928 0.855 0.778
As 0.072 0.145 0.222
Nd 0.500 0.000 0.500
Cs 0.728 0.455 0.203
Cs 0.272 0.545 0.797

Calculated values
* spin magnetization: 0.71 μB/cell
* theoretical density: 4.63 g cm⁻³
* raw total energy: -6.02 eV per atom
* uncorrected formation energy: -1.886 eV per atom
* crystal system: monoclinic



3.
# CsNdAsO4

A relaxed structure of CsNdAsO4 (PBE, Alexandria via LeMat-Bulk).

a = 6.605 Å, b = 6.605 Å, c = 6.605 Å
α = 60.00°, β = 60.00°, γ = 60.00°
Sites, in units of the cell vectors:
As 0.250 0.250 0.250
O 0.363 0.363 0.363
O 0.363 0.911 0.363
O 0.911 0.363 0.363
O 0.363 0.363 0.911
Nd 0.500 0.500 0.500
Cs 0.750 0.750 0.750

Calculated values
* spin magnetization: 0.82 μB/cell
* theoretical density: 3.39 g cm⁻³
* raw total energy: -6.13 eV per atom
* uncorrected formation energy: -1.833 eV per atom
* crystal system: cubic